Entry 1:
# KGe2Se4

Crystalline KGe2Se4 at its relaxed geometry (PBE-GGA, Alexandria).

POSCAR file:
```
KGe2Se4
1.0
-4.1918 4.1918 3.1297
4.1918 -4.1918 3.1297
4.1918 4.1918 -3.1297
K Ge Se
1 2 4
Cartesian
0.0000 0.0000 0.0000 K
4.1918 0.0000 1.5648 Ge
0.0000 4.1918 1.5648 Ge
5.3734 1.5092 0.0000 Se
1.5092 3.0101 0.0000 Se
2.6826 1.1817 3.1297 Se
-1.1817 2.6826 3.1297 Se
```

## Properties
**Magnetic moment**: 0.0 μB per formula unit
**Calculated density**: 3.78 g/cm³
**Symmetry**: No. 87
**Distance to the lowest polymorph of the same formula**: 0.25 eV/f.u.



Entry 2:
# KGeSe

Crystalline KGeSe at its relaxed geometry (PBE-GGA, Alexandria).

POSCAR file:
```
KGeSe
1.0
4.8788 0.0000 0.0000
0.0000 4.4784 0.0000
-1.5809 0.0000 9.1261
K Ge Se
2 2 2
Cartesian
0.4224 1.1196 2.8946 K
2.8755 3.3588 6.2315 K
0.3621 1.1196 8.6846 Ge
2.9358 3.3588 0.4415 Ge
0.4441 1.1196 6.3262 Se
2.8538 3.3588 2.7999 Se
```

## Properties
**Magnetic moment**: 0.0 μB per formula unit
**Calculated density**: 3.18 g/cm³
**Symmetry**: No. 11
**Distance to the lowest polymorph of the same formula**: 0.03 eV/f.u.



Entry 3:
# KGeSe2

Crystalline KGeSe2 at its relaxed geometry (PBE-GGA, Alexandria).

POSCAR file:
```
KGeSe2
1.0
-1.9835 2.2355 6.7020
1.9835 -2.2355 6.7020
1.9835 2.2355 -6.7020
K Ge Se
1 1 2
Cartesian
0.0000 0.0000 0.0000 K
0.0000 2.2355 3.4199 Ge
0.0000 0.0000 4.5572 Se
0.0000 0.0000 8.5466 Se
```

## Properties
**Total energy**: -3.775 eV per atom
**Magnetic moment**: 0.0 μB per formula unit
**Calculated density**: 3.77 g/cm³
**Symmetry**: No. 44



Entry 4:
# KGe2Se

Crystalline KGe2Se at its relaxed geometry (PBE-GGA, Alexandria).

POSCAR file:
```
KGe2Se
1.0
-4.2273 4.2273 3.0423
4.2273 -4.2273 3.0423
4.2273 4.2273 -3.0423
K Ge Se
2 4 2
Cartesian
0.0000 0.0000 0.0000 K
0.0000 4.2273 1.5211 K
2.1137 2.5913 -0.7606 Ge
5.8634 2.1137 0.7606 Ge
2.1137 1.6361 2.2817 Ge
-1.6361 2.1137 3.8029 Ge
4.2273 0.0000 1.5211 Se
0.0000 0.0000 3.0423 Se
```

## Properties
**Total energy**: -3.420 eV per atom
**Magnetic moment**: 0.0 μB per formula unit
**Calculated density**: 4.02 g/cm³
**Symmetry**: No. 122



Entry 5:
# KGe2Se4

Crystalline KGe2Se4 at its relaxed geometry (PBE-GGA, Alexandria).

POSCAR file:
```
KGe2Se4
1.0
8.3567 0.0000 0.0000
0.0000 12.9141 0.0000
-3.8440 0.0000 17.3880
K Ge Se
8 16 32
Cartesian
0.8196 0.3927 3.2217 K
-1.1024 6.0644 11.9157 K
-0.3192 1.4779 9.7072 K
1.6028 4.9792 1.0132 K
2.9099 7.9349 16.3748 K
4.8319 11.4362 7.6808 K
5.6151 6.8497 5.4723 K
3.6931 12.5214 14.1663 K
-1.1781 2.8933 6.1020 Ge
-3.1001 3.5638 14.7960 Ge
-1.4736 9.0124 14.7019 Ge
0.4484 10.3587 6.0079 Ge
-0.1383 8.9036 8.8078 Ge
1.7837 10.4675 0.1138 Ge
3.3760 9.6006 3.4657 Ge
1.4540 9.7705 12.1597 Ge
3.0587 3.1435 5.2283 Ge
1.1367 3.3135 13.9223 Ge
2.7289 2.4466 17.2743 Ge
4.6509 4.0105 8.5803 Ge
4.0642 2.5554 11.3801 Ge
5.9863 3.9017 2.6861 Ge
7.6128 9.3503 2.5920 Ge
5.6908 10.0208 11.2860 Ge
-2.5212 2.0405 12.9333 Se
-0.5992 4.4166 4.2393 Se
-3.3438 1.9382 16.6582 Se
-1.4218 4.5188 7.9642 Se
-1.9838 8.1123 16.8943 Se
-0.0618 11.2588 8.2003 Se
0.3633 8.0139 6.6052 Se
-1.5587 11.3572 15.2992 Se
0.4880 1.3574 6.5000 Se
-1.4340 5.0996 15.1940 Se
1.3058 8.1998 3.0241 Se
-0.6162 11.1713 11.7181 Se
0.5884 8.1217 14.0148 Se
2.5105 11.2494 5.3207 Se
1.4304 8.0109 10.3135 Se
3.3524 11.3602 1.6195 Se
1.1602 1.5538 15.7685 Se
3.0822 4.9032 7.0745 Se
2.0022 1.6646 12.0673 Se
3.9242 4.7924 3.3733 Se
5.1288 1.7428 5.6699 Se
3.2068 4.7143 14.3639 Se
5.9466 7.8145 2.1940 Se
4.0246 11.5566 10.8880 Se
6.0714 1.5568 2.0888 Se
4.1494 4.9002 10.7828 Se
4.5745 1.6552 9.1877 Se
6.4965 4.8018 0.4937 Se
5.9344 8.3953 9.4238 Se
7.8565 10.9758 0.7298 Se
5.1119 8.4975 13.1487 Se
7.0339 10.8736 4.4547 Se
```

## Properties
**Magnetic moment**: 0.0 μB per formula unit
**Calculated density**: 3.54 g/cm³
**Symmetry**: No. 14
**Distance to the lowest polymorph of the same formula**: 0.00 eV/f.u.



Entry 6:
# K2GeSe3

Crystalline K2GeSe3 at its relaxed geometry (PBE-GGA, Alexandria).

POSCAR file:
```
K2GeSe3
1.0
6.9237 0.0000 0.0000
2.9684 6.9666 0.0000
2.5509 1.2465 8.3312
K Ge Se
4 2 6
Cartesian
1.6560 1.5342 0.8867 K
4.8049 4.1344 2.6832 K
7.6381 4.0787 5.6480 K
10.7870 6.6789 7.4445 K
4.4102 1.2590 5.6833 Ge
8.0328 6.9542 2.6480 Ge
4.1121 3.5566 5.9678 Se
5.9454 7.3049 3.8737 Se
7.2752 6.8286 7.5495 Se
5.1679 1.3845 0.7817 Se
6.4976 0.9083 4.4575 Se
8.3309 4.6565 2.3635 Se
```

## Properties
**Total energy**: -3.754 eV per atom
**Magnetic moment**: 0.0 μB per formula unit
**Calculated density**: 3.20 g/cm³
**Symmetry**: No. 2